Record 1
{
  "formula": "Cs2PbBr6O",
  "functional": "PBE",
  "state": "optimized geometry",
  "raw_formation_energy_mev_per_atom": -776,
  "m_tot_mub_per_atom": 0.00,
  "cell": [[-4.5703, -2.5487, -5.1972], [0.7991, -6.8362, 2.6497], [-7.0262, -3.7251, 2.7725]],
  "species": ["Br", "O", "Br", "Br", "Cs", "Br", "Pb", "Br", "Cs", "Br"],
  "frac_coords": [[0.2780, 0.2780, 0.0000], [0.5000, 0.5000, 0.0000], [0.7792, 0.7792, 0.4415], [0.2208, 0.2208, 0.5585], [0.2500, 0.7500, 0.5000], [0.7220, 0.7220, 0.0000], [0.0000, 0.0000, 0.0000], [0.2780, 0.7220, 0.0000], [0.7500, 0.2500, 0.5000], [0.7220, 0.2780, 0.0000]]
}



Record 2
{
  "formula": "La3HRh",
  "functional": "PBE",
  "state": "optimized geometry",
  "m_tot_mub_per_atom": 0.00,
  "e_above_lowest_polymorph_ev_per_atom": 0.0000,
  "cell": [[-3.9563, -1.7409, -2.3368], [2.9013, -2.7205, -2.8853], [-0.2715, -3.7030, 3.2184]],
  "species": ["La", "H", "La", "Rh", "La"],
  "frac_coords": [[0.0000, 0.0000, 0.5000], [0.0000, 0.0000, 0.0000], [0.5000, 0.0000, 0.0000], [0.5000, 0.5000, 0.5000], [0.0000, 0.5000, 0.0000]]
}



Record 3
{
  "formula": "MgSeO4",
  "functional": "PBE",
  "state": "optimized geometry",
  "raw_formation_energy_mev_per_atom": -1381,
  "m_tot_mub_per_atom": 0.02,
  "cell": [[6.9168, 0.0000, -3.6701], [3.4584, 3.8479, -1.8351], [-1.6549, 0.0000, 5.2341]],
  "species": ["Se", "O", "Mg", "O", "O", "O"],
  "frac_coords": [[0.7500, 0.5000, 0.5000], [0.5030, 0.4088, 0.1543], [0.5000, 0.0000, 0.0000], [0.6513, 0.8457, 0.4088], [0.0882, 0.1543, 0.5912], [0.7575, 0.5912, 0.8457]]
}



Record 4
{
  "formula": "PuThPt2",
  "functional": "PBE",
  "state": "optimized geometry",
  "formation_enthalpy_0k_ev_per_atom": -0.888,
  "m_tot_mub_per_atom": 1.41,
  "e_above_lowest_polymorph_ev_per_atom": 0.1244,
  "cell": [[-1.9288, -2.9500, 0.5669], [4.2429, -2.6029, 0.8910], [-0.3229, 1.1552, 4.9124]],
  "species": ["Th", "Pt", "Pu", "Pt"],
  "frac_coords": [[0.5000, 0.5000, 0.5000], [0.0000, 0.5000, 0.0000], [0.5000, 0.0000, 0.0000], [0.0000, 0.0000, 0.5000]]
}



Record 5
{
  "formula": "Ta4Ti2Mo",
  "functional": "PBE",
  "state": "optimized geometry",
  "formation_enthalpy_0k_ev_per_atom": 0.052,
  "m_tot_mub_per_atom": 0.00,
  "cell": [[-1.3287, -0.1890, -2.5289], [-5.8982, 1.2676, 3.8541], [-2.9327, 6.4832, -0.5583]],
  "species": ["Ta", "Ta", "Ta", "Ti", "Ta", "Mo", "Ti"],
  "frac_coords": [[0.3960, 0.4143, 0.8628], [0.6040, 0.5857, 0.1372], [0.9919, 0.7238, 0.4272], [0.6241, 0.1469, 0.2758], [0.0081, 0.2762, 0.5728], [0.0000, 0.0000, 0.0000], [0.3759, 0.8531, 0.7242]]
}



Record 6
{
  "formula": "YSc2AlCo",
  "functional": "PBE",
  "state": "optimized geometry",
  "formation_enthalpy_0k_ev_per_atom": -0.179,
  "m_tot_mub_per_atom": 0.00,
  "cell": [[4.8119, 0.0000, 0.0000], [0.0000, 4.8119, 0.0000], [0.0000, 0.0000, 4.7324]],
  "species": ["Co", "Sc", "Al", "Y", "Sc"],
  "frac_coords": [[0.0000, 0.0000, 0.0000], [0.0000, 0.5000, 0.0000], [0.0000, 0.0000, 0.5000], [0.5000, 0.5000, 0.5000], [0.5000, 0.0000, 0.0000]]
}



Record 7
{
  "formula": "YSc2Rh",
  "functional": "PBE",
  "state": "optimized geometry",
  "formation_enthalpy_0k_ev_per_atom": -0.309,
  "m_tot_mub_per_atom": 0.00,
  "e_above_lowest_polymorph_ev_per_atom": 0.2145,
  "cell": [[-0.8502, -2.3026, -3.6955], [0.7847, -2.8741, 1.6103], [-5.2372, -2.0589, 2.4878]],
  "species": ["Y", "Sc", "Rh", "Sc"],
  "frac_coords": [[0.5000, 0.2500, 0.2500], [0.0000, 0.9140, 0.9647], [0.5000, 0.7500, 0.7500], [0.0000, 0.5860, 0.5353]]
}



Record 8
{
  "formula": "Hf2TiAsSe",
  "functional": "PBE",
  "state": "optimized geometry",
  "raw_formation_energy_mev_per_atom": 546,
  "m_tot_mub_per_atom": 0.00,
  "cell": [[-3.8969, -2.6598, 1.2800], [2.7090, -4.2240, -0.5298], [1.3508, 0.2780, 4.6901]],
  "species": ["Hf", "Se", "As", "Ti", "Hf"],
  "frac_coords": [[0.5000, 0.0000, 0.0000], [0.0000, 0.0000, 0.0000], [0.0000, 0.5000, 0.0000], [0.5000, 0.5000, 0.5000], [0.0000, 0.0000, 0.5000]]
}



Short version: E_tot = -2.82, -5.23, -5.53, -9.35, -10.52, -6.17, -6.93, -6.64 eV/atom, in the order given.